# 1
Density functional theory data (PBE) for crystalline Pa2Co4Si3Ru at its relaxed geometry.

a = 3.780 Å, b = 3.780 Å, c = 10.314 Å
α = 90.00°, β = 90.00°, γ = 90.00°
Positions (direct):
1 Pa 0.000 0.500 0.248
2 Pa 0.500 0.000 0.752
3 Co 0.000 0.000 0.000
4 Co 0.000 0.500 0.655
5 Co 0.500 0.000 0.345
6 Co 0.500 0.500 0.000
7 Si 0.000 0.500 0.879
8 Si 0.500 0.000 0.121
9 Si 0.500 0.500 0.500
10 Ru 0.000 0.000 0.500

- space-group type = P-4m2 (115)
- total magnetic moment (μB/f.u.) = 0.00

=====

# 2
Density functional theory data (PBE) for crystalline PaCo2Si2Ru at its relaxed geometry.

a = 3.968 Å, b = 3.968 Å, c = 6.351 Å
α = 90.00°, β = 90.00°, γ = 120.00°
Positions (direct):
1 Pa 0.000 0.000 0.000
2 Co 0.333 0.667 0.730
3 Co 0.667 0.333 0.270
4 Si 0.333 0.667 0.334
5 Si 0.667 0.333 0.666
6 Ru 0.000 0.000 0.500

- space-group type = P-3m1 (164)
- total magnetic moment (μB/f.u.) = 0.00

=====

Respective total DFT energy (no corrections) values: -7.94; -7.96 eV per atom.